## A
Computed, not measured: a relaxed Mn2CoSe crystal at the PBE level of DFT.

Lattice parameters (Å, degrees): 4.052 4.052 2.863 90.00 90.00 90.00
Atoms (fractional coordinates):
1 Mn 0.000 0.500 0.000
2 Mn 0.500 0.000 0.000
3 Co 0.000 0.000 0.500
4 Se 0.500 0.500 0.500

Properties
density of states at the Fermi level = 5.3 states/eV per cell
crystal system = tetragonal
total moment = 1.5 μB per formula unit
symmetry = P4/mmm, No. 123
calculated density = 8.8 g cm⁻³


## B
Computed, not measured: a relaxed Mn2CoSe crystal at the PBE level of DFT.

Lattice parameters (Å, degrees): 3.188 3.188 5.551 90.00 90.00 90.00
Atoms (fractional coordinates):
1 Mn 0.000 0.000 0.241
2 Mn 0.000 0.000 0.759
3 Co 0.500 0.500 0.000
4 Se 0.500 0.500 0.500

Properties
density of states at the Fermi level = 3.4 states/eV per cell
crystal system = tetragonal
total moment = 8.7 μB per formula unit
symmetry = P4/mmm, No. 123
calculated density = 7.3 g cm⁻³


## C
Computed, not measured: a relaxed Mn2CoSe crystal at the PBE level of DFT.

Lattice parameters (Å, degrees): 3.851 4.943 4.943 37.99 90.00 90.00
Atoms (fractional coordinates):
1 Mn 0.000 0.000 0.000
2 Mn 0.500 0.311 0.311
3 Co 0.000 0.743 0.743
4 Se 0.500 0.581 0.581

Properties
density of states at the Fermi level = 2.2 states/eV per cell
crystal system = orthorhombic
total moment = 8.5 μB per formula unit
symmetry = Amm2, No. 38
calculated density = 7.1 g cm⁻³


## D
Computed, not measured: a relaxed Mn2CoSe crystal at the PBE level of DFT.

Lattice parameters (Å, degrees): 7.362 7.362 7.362 24.35 24.35 24.35
Atoms (fractional coordinates):
1 Mn 0.248 0.248 0.248
2 Mn 0.752 0.752 0.752
3 Co 0.500 0.500 0.500
4 Se 0.000 0.000 0.000

Properties
density of states at the Fermi level = 2.0 states/eV per cell
crystal system = trigonal
total moment = 8.3 μB per formula unit
symmetry = R-3m, No. 166
calculated density = 6.9 g cm⁻³


If we sort the structures by their calculated energies, the order from most to least stable is C, B, D, A.


## A
Computed, not measured: a relaxed Mn2CoSe crystal at the PBE level of DFT.

Lattice parameters (Å, degrees): 4.033 4.033 4.033 60.00 60.00 60.00
Atoms (fractional coordinates):
1 Mn 0.250 0.250 0.250
2 Mn 0.750 0.750 0.750
3 Co 0.000 0.000 0.000
4 Se 0.500 0.500 0.500

Properties
density of states at the Fermi level = 5.4 states/eV per cell
crystal system = cubic
total moment = 1.1 μB per formula unit
symmetry = Fm-3m, No. 225
calculated density = 8.9 g cm⁻³


## B
Computed, not measured: a relaxed Mn2CoSe crystal at the PBE level of DFT.

Lattice parameters (Å, degrees): 4.118 4.118 4.118 60.00 60.00 60.00
Atoms (fractional coordinates):
1 Mn 0.000 0.000 0.000
2 Mn 0.250 0.250 0.250
3 Co 0.500 0.500 0.500
4 Se 0.750 0.750 0.750

Properties
density of states at the Fermi level = 2.0 states/eV per cell
crystal system = cubic
total moment = 4.7 μB per formula unit
symmetry = F-43m, No. 216
calculated density = 8.3 g cm⁻³


## C
Computed, not measured: a relaxed Mn2CoSe crystal at the PBE level of DFT.

Lattice parameters (Å, degrees): 4.303 4.303 3.030 90.00 90.00 104.88
Atoms (fractional coordinates):
1 Mn 0.000 0.500 0.000
2 Mn 0.500 0.000 0.000
3 Co 0.000 0.000 0.500
4 Se 0.500 0.500 0.500

Properties
density of states at the Fermi level = 4.3 states/eV per cell
crystal system = orthorhombic
total moment = 7.7 μB per formula unit
symmetry = Cmmm, No. 65
calculated density = 7.6 g cm⁻³


If we sort the structures by their calculated energies, the order from most to least stable is C, B, A.


## A
Computed, not measured: a relaxed Mn2CoSe crystal at the PBE level of DFT.

Lattice parameters (Å, degrees): 7.851 7.851 7.851 21.28 21.28 21.28
Atoms (fractional coordinates):
1 Mn 0.000 0.000 0.000
2 Mn 0.250 0.250 0.250
3 Co 0.747 0.747 0.747
4 Se 0.495 0.495 0.495

Properties
density of states at the Fermi level = 4.4 states/eV per cell
crystal system = trigonal
total moment = 1.4 μB per formula unit
symmetry = R3m, No. 160
calculated density = 7.4 g cm⁻³


## B
Computed, not measured: a relaxed Mn2CoSe crystal at the PBE level of DFT.

Lattice parameters (Å, degrees): 5.110 5.110 5.110 144.13 133.70 59.92
Atoms (fractional coordinates):
1 Mn 0.000 0.000 0.000
2 Mn 0.725 0.225 0.500
3 Co 0.495 0.495 0.000
4 Se 0.281 0.781 0.500

Properties
density of states at the Fermi level = 4.0 states/eV per cell
crystal system = orthorhombic
total moment = 8.1 μB per formula unit
symmetry = Imm2, No. 44
calculated density = 7.3 g cm⁻³


## C
Computed, not measured: a relaxed Mn2CoSe crystal at the PBE level of DFT.

Lattice parameters (Å, degrees): 3.411 3.757 3.857 90.00 90.00 90.00
Atoms (fractional coordinates):
1 Mn 0.000 0.000 0.000
2 Mn 0.500 0.500 0.000
3 Co 0.000 0.500 0.500
4 Se 0.500 0.000 0.500

Properties
density of states at the Fermi level = 4.5 states/eV per cell
crystal system = orthorhombic
total moment = 4.4 μB per formula unit
symmetry = Pmmm, No. 47
calculated density = 8.3 g cm⁻³


## D
Computed, not measured: a relaxed Mn2CoSe crystal at the PBE level of DFT.

Lattice parameters (Å, degrees): 3.224 3.224 5.258 90.00 90.00 90.00
Atoms (fractional coordinates):
1 Mn 0.000 0.000 0.000
2 Mn 0.500 0.500 0.273
3 Co 0.500 0.500 0.792
4 Se 0.000 0.000 0.496

Properties
density of states at the Fermi level = 4.0 states/eV per cell
crystal system = tetragonal
total moment = 7.5 μB per formula unit
symmetry = P4mm, No. 99
calculated density = 7.5 g cm⁻³


If we sort the structures by their calculated energies, the order from most to least stable is B, D, C, A.


## A
Computed, not measured: a relaxed Mn2CoSe crystal at the PBE level of DFT.

Lattice parameters (Å, degrees): 5.203 5.203 5.203 102.07 102.07 125.58
Atoms (fractional coordinates):
1 Mn 0.125 0.625 0.000
2 Mn 0.375 0.375 0.500
3 Mn 0.625 0.125 0.000
4 Mn 0.875 0.875 0.500
5 Co 0.000 0.000 0.000
6 Co 0.750 0.250 0.500
7 Se 0.250 0.750 0.500
8 Se 0.500 0.500 0.000

Properties
density of states at the Fermi level = 17.3 states/eV per cell
crystal system = tetragonal
total moment = 0.0 μB per formula unit
symmetry = I-42d, No. 122
calculated density = 8.1 g cm⁻³


## B
Computed, not measured: a relaxed Mn2CoSe crystal at the PBE level of DFT.

Lattice parameters (Å, degrees): 4.600 4.600 4.600 130.69 130.69 72.31
Atoms (fractional coordinates):
1 Mn 0.250 0.750 0.500
2 Mn 0.750 0.250 0.500
3 Co 0.000 0.000 0.000
4 Se 0.500 0.500 0.000

Properties
density of states at the Fermi level = 3.3 states/eV per cell
crystal system = tetragonal
total moment = 8.3 μB per formula unit
symmetry = I4/mmm, No. 139
calculated density = 7.5 g cm⁻³


If we sort the structures by their calculated energies, the order from most to least stable is B, A.


## A
Computed, not measured: a relaxed MnCoSe3 crystal at the PBE level of DFT.

Lattice parameters (Å, degrees): 7.869 7.869 6.545 94.29 94.29 89.07
Atoms (fractional coordinates):
1 Mn 0.077 0.923 0.750
2 Mn 0.242 0.758 0.250
3 Mn 0.758 0.242 0.750
4 Mn 0.923 0.077 0.250
5 Co 0.185 0.346 0.959
6 Co 0.346 0.185 0.459
7 Co 0.654 0.815 0.541
8 Co 0.815 0.654 0.041
9 Se 0.065 0.220 0.621
10 Se 0.100 0.641 0.910
11 Se 0.220 0.065 0.121
12 Se 0.319 0.438 0.281
13 Se 0.359 0.900 0.590
14 Se 0.438 0.319 0.781
15 Se 0.562 0.681 0.219
16 Se 0.641 0.100 0.410
17 Se 0.681 0.562 0.719
18 Se 0.780 0.935 0.879
19 Se 0.900 0.359 0.090
20 Se 0.935 0.780 0.379

Properties
density of states at the Fermi level = 7.4 states/eV per cell
crystal system = monoclinic
total moment = 4.9 μB per formula unit
symmetry = C2/c, No. 15
calculated density = 5.8 g cm⁻³


## B
Computed, not measured: a relaxed MnCoSe3 crystal at the PBE level of DFT.

Lattice parameters (Å, degrees): 4.810 4.810 4.810 90.00 90.00 90.00
Atoms (fractional coordinates):
1 Mn 0.000 0.000 0.000
2 Co 0.500 0.500 0.500
3 Se 0.000 0.000 0.500
4 Se 0.000 0.500 0.000
5 Se 0.500 0.000 0.000

Properties
density of states at the Fermi level = 7.6 states/eV per cell
crystal system = cubic
total moment = 6.0 μB per formula unit
symmetry = Pm-3m, No. 221
calculated density = 5.2 g cm⁻³


If we sort the structures by their calculated energies, the order from most to least stable is A, B.


## A
Computed, not measured: a relaxed MnCoSi crystal at the PBE level of DFT.

Lattice parameters (Å, degrees): 3.833 3.833 3.833 60.00 60.00 60.00
Atoms (fractional coordinates):
1 Mn 0.000 0.000 0.000
2 Co 0.500 0.500 0.500
3 Si 0.750 0.750 0.750

Properties
density of states at the Fermi level = 3.3 states/eV per cell
crystal system = cubic
total moment = 3.2 μB per formula unit
symmetry = F-43m, No. 216
calculated density = 5.9 g cm⁻³


## B
Computed, not measured: a relaxed MnCoSi crystal at the PBE level of DFT.

Lattice parameters (Å, degrees): 4.356 4.356 4.356 144.77 133.47 59.69
Atoms (fractional coordinates):
1 Mn 0.000 0.000 0.000
2 Co 0.325 0.325 0.000
3 Si 0.668 0.668 0.000

Properties
density of states at the Fermi level = 2.6 states/eV per cell
crystal system = orthorhombic
total moment = 3.2 μB per formula unit
symmetry = Imm2, No. 44
calculated density = 6.9 g cm⁻³


## C
Computed, not measured: a relaxed MnCoSi crystal at the PBE level of DFT.

Lattice parameters (Å, degrees): 5.065 5.065 5.065 149.59 149.59 43.54
Atoms (fractional coordinates):
1 Mn 0.000 0.000 0.000
2 Co 0.685 0.685 0.000
3 Si 0.332 0.332 0.000

Properties
density of states at the Fermi level = 2.0 states/eV per cell
crystal system = tetragonal
total moment = 2.2 μB per formula unit
symmetry = I4mm, No. 107
calculated density = 7.1 g cm⁻³


If we sort the structures by their calculated energies, the order from most to least stable is C, B, A.


## A
Computed, not measured: a relaxed MnCoSi crystal at the PBE level of DFT.

Lattice parameters (Å, degrees): 3.802 3.802 3.802 60.00 60.00 60.00
Atoms (fractional coordinates):
1 Mn 0.000 0.000 0.000
2 Co 0.750 0.750 0.750
3 Si 0.500 0.500 0.500

Properties
density of states at the Fermi level = 3.2 states/eV per cell
crystal system = cubic
total moment = 2.0 μB per formula unit
symmetry = F-43m, No. 216
calculated density = 6.1 g cm⁻³


## B
Computed, not measured: a relaxed MnCoSi crystal at the PBE level of DFT.

Lattice parameters (Å, degrees): 3.896 3.896 2.651 90.00 90.00 120.00
Atoms (fractional coordinates):
1 Mn 0.000 0.000 0.000
2 Co 0.333 0.667 0.500
3 Si 0.667 0.333 0.500

Properties
density of states at the Fermi level = 2.4 states/eV per cell
crystal system = hexagonal
total moment = 3.1 μB per formula unit
symmetry = P-6m2, No. 187
calculated density = 6.8 g cm⁻³


## C
Computed, not measured: a relaxed MnCoSi crystal at the PBE level of DFT.

Lattice parameters (Å, degrees): 3.982 3.982 5.053 90.00 90.00 120.00
Atoms (fractional coordinates):
1 Mn 0.333 0.667 0.250
2 Mn 0.667 0.333 0.750
3 Co 0.333 0.667 0.750
4 Co 0.667 0.333 0.250
5 Si 0.000 0.000 0.000
6 Si 0.000 0.000 0.500

Properties
density of states at the Fermi level = 5.6 states/eV per cell
crystal system = hexagonal
total moment = 2.9 μB per formula unit
symmetry = P6_3/mmc, No. 194
calculated density = 6.8 g cm⁻³


## D
Computed, not measured: a relaxed MnCoSi crystal at the PBE level of DFT.

Lattice parameters (Å, degrees): 5.254 3.454 7.489 90.00 90.00 90.00
Atoms (fractional coordinates):
1 Mn 0.132 0.250 0.089
2 Mn 0.368 0.750 0.589
3 Mn 0.632 0.250 0.411
4 Mn 0.868 0.750 0.911
5 Co 0.130 0.250 0.414
6 Co 0.370 0.750 0.914
7 Co 0.630 0.250 0.086
8 Co 0.870 0.750 0.586
9 Si 0.117 0.250 0.747
10 Si 0.383 0.750 0.247
11 Si 0.617 0.250 0.753
12 Si 0.883 0.750 0.253

Properties
density of states at the Fermi level = 12.7 states/eV per cell
crystal system = orthorhombic
total moment = 2.9 μB per formula unit
symmetry = Pnma, No. 62
calculated density = 6.9 g cm⁻³


If we sort the structures by their calculated energies, the order from most to least stable is B, D, A, C.


## A
Computed, not measured: a relaxed MnCoSi crystal at the PBE level of DFT.

Lattice parameters (Å, degrees): 4.980 3.691 7.378 90.00 90.00 90.00
Atoms (fractional coordinates):
1 Mn 0.159 0.250 0.059
2 Mn 0.341 0.750 0.559
3 Mn 0.659 0.250 0.441
4 Mn 0.841 0.750 0.941
5 Co 0.056 0.250 0.715
6 Co 0.444 0.750 0.215
7 Co 0.556 0.250 0.785
8 Co 0.944 0.750 0.285
9 Si 0.180 0.250 0.384
10 Si 0.320 0.750 0.884
11 Si 0.680 0.250 0.116
12 Si 0.820 0.750 0.616

Properties
density of states at the Fermi level = 9.3 states/eV per cell
crystal system = orthorhombic
total moment = 2.5 μB per formula unit
symmetry = Pnma, No. 62
calculated density = 7.0 g cm⁻³


## B
Computed, not measured: a relaxed MnCoSi crystal at the PBE level of DFT.

Lattice parameters (Å, degrees): 3.971 3.971 4.996 90.00 90.00 120.00
Atoms (fractional coordinates):
1 Mn 0.000 0.000 0.000
2 Mn 0.000 0.000 0.500
3 Co 0.333 0.667 0.250
4 Co 0.667 0.333 0.750
5 Si 0.333 0.667 0.750
6 Si 0.667 0.333 0.250

Properties
density of states at the Fermi level = 5.5 states/eV per cell
crystal system = hexagonal
total moment = 2.8 μB per formula unit
symmetry = P6_3/mmc, No. 194
calculated density = 6.9 g cm⁻³


## C
Computed, not measured: a relaxed MnCoSi crystal at the PBE level of DFT.

Lattice parameters (Å, degrees): 4.017 4.017 4.832 90.00 90.00 120.00
Atoms (fractional coordinates):
1 Mn 0.333 0.667 0.250
2 Mn 0.667 0.333 0.750
3 Co 0.000 0.000 0.000
4 Co 0.000 0.000 0.500
5 Si 0.333 0.667 0.750
6 Si 0.667 0.333 0.250

Properties
density of states at the Fermi level = 10.2 states/eV per cell
crystal system = hexagonal
total moment = 1.9 μB per formula unit
symmetry = P6_3/mmc, No. 194
calculated density = 7.0 g cm⁻³


If we sort the structures by their calculated energies, the order from most to least stable is B, A, C.